1.
# Pu2UNi2Ge2 | Alexandria via LeMat-Bulk | PBE-GGA | optimized geometry
data_Pu2UNi2Ge2
_chemical_formula_sum 'Pu2 U1 Ni2 Ge2'
_cell_length_a 9.341
_cell_length_b 9.341
_cell_length_c 9.341
_cell_angle_alpha 24.17
_cell_angle_beta 24.17
_cell_angle_gamma 24.17
_symmetry_space_group_name_H-M 'P 1'
_symmetry_Int_Tables_number 1
loop_
_symmetry_equiv_pos_as_xyz
'x,y,z'
loop_
_atom_site_label
_atom_site_fract_x
_atom_site_fract_y
_atom_site_fract_z
Pu1 0.148 0.148 0.148
Pu2 0.852 0.852 0.852
U1 0.000 0.000 0.000
Ni1 0.392 0.392 0.392
Ni2 0.608 0.608 0.608
Ge1 0.255 0.255 0.255
Ge2 0.745 0.745 0.745
# Space-group type = R-3m (166)
# ΔE_f = -0.229 eV per atom

---

2.
# Pu2ZnNi3Ge4 | Alexandria via LeMat-Bulk | PBE-GGA | optimized geometry
data_Pu2ZnNi3Ge4
_chemical_formula_sum 'Pu2 Zn1 Ni3 Ge4'
_cell_length_a 4.142
_cell_length_b 4.142
_cell_length_c 9.831
_cell_angle_alpha 90.00
_cell_angle_beta 90.00
_cell_angle_gamma 90.00
_symmetry_space_group_name_H-M 'P 1'
_symmetry_Int_Tables_number 1
loop_
_symmetry_equiv_pos_as_xyz
'x,y,z'
loop_
_atom_site_label
_atom_site_fract_x
_atom_site_fract_y
_atom_site_fract_z
Pu1 0.000 0.500 0.246
Pu2 0.500 0.000 0.754
Zn1 0.000 0.000 0.500
Ni1 0.000 0.500 0.881
Ni2 0.500 0.000 0.119
Ni3 0.500 0.500 0.500
Ge1 0.000 0.000 0.000
Ge2 0.000 0.500 0.644
Ge3 0.500 0.000 0.356
Ge4 0.500 0.500 0.000
# Space-group type = P-4m2 (115)
# ΔE_f = -0.453 eV per atom

---

3.
# Pu2ZnNi4Ge3 | Alexandria via LeMat-Bulk | PBE-GGA | optimized geometry
data_Pu2ZnNi4Ge3
_chemical_formula_sum 'Pu2 Zn1 Ni4 Ge3'
_cell_length_a 4.073
_cell_length_b 4.073
_cell_length_c 9.828
_cell_angle_alpha 90.00
_cell_angle_beta 90.00
_cell_angle_gamma 90.00
_symmetry_space_group_name_H-M 'P 1'
_symmetry_Int_Tables_number 1
loop_
_symmetry_equiv_pos_as_xyz
'x,y,z'
loop_
_atom_site_label
_atom_site_fract_x
_atom_site_fract_y
_atom_site_fract_z
Pu1 0.000 0.500 0.249
Pu2 0.500 0.000 0.751
Zn1 0.000 0.000 0.500
Ni1 0.000 0.000 0.000
Ni2 0.000 0.500 0.633
Ni3 0.500 0.000 0.367
Ni4 0.500 0.500 0.000
Ge1 0.000 0.500 0.871
Ge2 0.500 0.000 0.129
Ge3 0.500 0.500 0.500
# Space-group type = P-4m2 (115)
# ΔE_f = -0.442 eV per atom

---

4.
# RbNiGe | Alexandria via LeMat-Bulk | PBE-GGA | optimized geometry
data_RbNiGe
_chemical_formula_sum 'Rb2 Ni2 Ge2'
_cell_length_a 4.230
_cell_length_b 4.230
_cell_length_c 10.504
_cell_angle_alpha 90.00
_cell_angle_beta 90.00
_cell_angle_gamma 90.00
_symmetry_space_group_name_H-M 'P 1'
_symmetry_Int_Tables_number 1
loop_
_symmetry_equiv_pos_as_xyz
'x,y,z'
loop_
_atom_site_label
_atom_site_fract_x
_atom_site_fract_y
_atom_site_fract_z
Rb1 0.250 0.250 0.213
Rb2 0.750 0.750 0.787
Ni1 0.250 0.750 0.500
Ni2 0.750 0.250 0.500
Ge1 0.250 0.250 0.599
Ge2 0.750 0.750 0.401
# Space-group type = P4/nmm (129)
# ΔE_f = -0.144 eV per atom